Record 1
! La2PmPr2Y2 (PBE-GGA, relaxed); values from VASP
! Crystal system ... monoclinic
! Total moment ... 0.00 Bohr magnetons per cell
&SYSTEM
  ibrav = 0, nat = 7, ntyp = 4
/
ATOMIC_SPECIES
Y 88.91 Y.upf
Pm 145.00 Pm.upf
La 138.91 La.upf
Pr 140.91 Pr.upf
ATOMIC_POSITIONS crystal
Y 0.5708 0.1415 0.7149
Y 0.4292 0.8585 0.2851
Pm 0.0000 0.0000 0.0000
La 0.8568 0.7136 0.5734
La 0.1432 0.2864 0.4266
Pr 0.2856 0.5713 0.8582
Pr 0.7144 0.4287 0.1418
CELL_PARAMETERS angstrom
-2.0504 -3.8777 2.7990
5.5818 2.1060 2.1701
-4.7821 5.4032 3.9824

=====

Record 2
! Ga2Cu2Pd5 (PBE-GGA, relaxed); values from VASP
! Crystal system ... orthorhombic
! Total moment ... 0.00 Bohr magnetons per cell
&SYSTEM
  ibrav = 0, nat = 18, ntyp = 3
/
ATOMIC_SPECIES
Cu 63.55 Cu.upf
Pd 106.42 Pd.upf
Ga 69.72 Ga.upf
ATOMIC_POSITIONS crystal
Cu 0.5000 0.3712 0.0000
Cu 0.0000 0.8712 0.0000
Cu 0.2499 0.4571 0.5000
Cu 0.7501 0.9571 0.5000
Pd 0.1647 0.0358 0.3296
Pd 0.0844 0.2874 0.1685
Pd 0.9156 0.1188 0.8315
Pd 0.3351 0.2062 0.6704
Pd 0.5842 0.7874 0.1685
Pd 0.2501 0.7895 0.5000
Pd 0.8353 0.7062 0.6704
Pd 0.6649 0.5358 0.3296
Pd 0.4158 0.6188 0.8315
Pd 0.7499 0.2895 0.5000
Ga 0.9073 0.4421 0.8144
Ga 0.4071 0.9421 0.8144
Ga 0.5929 0.1277 0.1856
Ga 0.0927 0.6277 0.1856
CELL_PARAMETERS angstrom
-0.9155 -3.7094 2.0190
-1.1303 -3.3647 -6.6941
8.8813 1.4470 2.0611

=====

Record 3
! DyRhAu (PBE-GGA, relaxed); values from VASP
! Crystal system ... tetragonal
! Offset from the most stable computed form ... 0.0500 eV/atom
! Total moment ... 0.00 Bohr magnetons per cell
&SYSTEM
  ibrav = 0, nat = 3, ntyp = 3
/
ATOMIC_SPECIES
Rh 102.91 Rh.upf
Au 196.97 Au.upf
Dy 162.50 Dy.upf
ATOMIC_POSITIONS crystal
Rh 0.6134 0.6134 0.2269
Au 0.2799 0.2799 0.5597
Dy 0.9567 0.9567 0.9134
CELL_PARAMETERS angstrom
3.5646 0.0000 0.0000
0.0000 3.5646 0.0000
-1.7823 -1.7823 4.6332

=====

Record 4
! Rb3Zn2Bi4Pb2 (PBE-GGA, relaxed); values from VASP
! Crystal system ... trigonal
! Total moment ... 0.00 Bohr magnetons per cell
&SYSTEM
  ibrav = 0, nat = 11, ntyp = 4
/
ATOMIC_SPECIES
Rb 85.47 Rb.upf
Pb 207.20 Pb.upf
Bi 208.98 Bi.upf
Zn 65.41 Zn.upf
ATOMIC_POSITIONS crystal
Rb 0.0000 0.0000 0.0000
Rb 0.0000 0.0000 0.7386
Rb 0.0000 0.0000 0.2614
Pb 0.6667 0.3333 0.4463
Pb 0.3333 0.6667 0.5537
Bi 0.6667 0.3333 0.1321
Bi 0.3333 0.6667 0.8679
Bi 0.3333 0.6667 0.3830
Bi 0.6667 0.3333 0.6170
Zn 0.6667 0.3333 0.8670
Zn 0.3333 0.6667 0.1330
CELL_PARAMETERS angstrom
-2.7448 2.8664 -2.8254
-2.1117 -3.2121 2.9927
-0.5196 14.8112 15.5307

=====

| no. | theoretical density (kg/m³) | energy (eV/cell) | DFT formation energy (eV/atom) |
| --- | --- | --- | --- |
| 1 | 5959 | -36.96 | 0.019 |
| 2 | 9956 | -86.79 | -0.354 |
| 3 | 13042 | -17.14 | -0.637 |
| 4 | 6163 | -30.37 | -0.180 |